Record 1
# NdLu2Sc

Crystalline NdLu2Sc at its relaxed geometry (PBE, Alexandria via LeMat-Bulk).

Structure (CIF):
```
data_NdLu2Sc
_cell_length_a 4.877
_cell_length_b 4.877
_cell_length_c 4.958
_cell_angle_alpha 90.00
_cell_angle_beta 90.00
_cell_angle_gamma 90.00
_symmetry_space_group_name_H-M 'P 4/m m m'
_symmetry_Int_Tables_number 123
_symmetry_space_group_name_Hall '-P 4 2'
loop_
_atom_site_label
_atom_site_fract_x
_atom_site_fract_y
_atom_site_fract_z
Nd1 0.000 0.000 0.000
Lu1 0.000 0.500 0.500
Sc1 0.500 0.500 0.000
```

## Properties
E ... -19.9 eV/f.u.
E above lowest polymorph ... 0.000 eV/atom
Spin magnetization ... 0.0 Bohr magnetons per cell

=====

Record 2
# NdLuSc2

Crystalline NdLuSc2 at its relaxed geometry (PBE, Alexandria via LeMat-Bulk).

Structure (CIF):
```
data_NdLuSc2
_cell_length_a 3.4355
_cell_length_b 3.4355
_cell_length_c 32.9475
_cell_angle_alpha 90.00
_cell_angle_beta 90.00
_cell_angle_gamma 120.00
_symmetry_space_group_name_H-M 'R -3 m'
_symmetry_Int_Tables_number 166
_symmetry_space_group_name_Hall '-R 3 2"'
loop_
_atom_site_label
_atom_site_fract_x
_atom_site_fract_y
_atom_site_fract_z
Nd1 0.0000 0.0000 0.0000
Lu1 0.0000 0.0000 0.5000
Sc1 0.0000 0.0000 0.2484
```

## Properties
E ... -21.7 eV/f.u.
E above lowest polymorph ... 0.008 eV/atom
Spin magnetization ... 0.0 Bohr magnetons per cell